Record 1
First-principles (PBE) data for GdLuThCd after structural relaxation, as listed in the Alexandria database.

E_form, meV/atom: 16
Total magnetic moment, μB/cell: 8.25
V, Å³ per cell: 116
Calculated density, g cm⁻³: 9.696

CIF file:
```
data_GdLuThCd
_chemical_formula_sum 'Gd1 Lu1 Th1 Cd1'
_space_group_name_H-M_alt 'P 1'
_space_group_IT_number 1
_cell_length_a 5.472
_cell_length_b 5.472
_cell_length_c 5.472
_cell_angle_alpha 60.00
_cell_angle_beta 60.00
_cell_angle_gamma 60.00
loop_
_space_group_symop_operation_xyz
'x,y,z'
loop_
_atom_site_label
_atom_site_type_symbol
_atom_site_fract_x
_atom_site_fract_y
_atom_site_fract_z
_atom_site_occupancy
Gd1 Gd 0.000 0.000 0.000 1
Lu1 Lu 0.250 0.250 0.250 1
Th1 Th 0.500 0.500 0.500 1
Cd1 Cd 0.750 0.750 0.750 1
```


Record 2
First-principles (PBE) data for GdLuTiCd after structural relaxation, as listed in the Alexandria database.

E_form, meV/atom: 49
Total magnetic moment, μB/cell: 4.89
V, Å³ per cell: 99
Calculated density, g cm⁻³: 8.225

CIF file:
```
data_GdLuTiCd
_chemical_formula_sum 'Gd1 Lu1 Ti1 Cd1'
_space_group_name_H-M_alt 'P 1'
_space_group_IT_number 1
_cell_length_a 5.200
_cell_length_b 5.200
_cell_length_c 5.200
_cell_angle_alpha 60.00
_cell_angle_beta 60.00
_cell_angle_gamma 60.00
loop_
_space_group_symop_operation_xyz
'x,y,z'
loop_
_atom_site_label
_atom_site_type_symbol
_atom_site_fract_x
_atom_site_fract_y
_atom_site_fract_z
_atom_site_occupancy
Gd1 Gd 0.000 0.000 0.000 1
Lu1 Lu 0.500 0.500 0.500 1
Ti1 Ti 0.750 0.750 0.750 1
Cd1 Cd 0.250 0.250 0.250 1
```


Record 3
First-principles (PBE) data for GdLuTlCd after structural relaxation, as listed in the Alexandria database.

E_form, meV/atom: -331
Total magnetic moment, μB/cell: 7.72
V, Å³ per cell: 105
Calculated density, g cm⁻³: 10.229

CIF file:
```
data_GdLuTlCd
_chemical_formula_sum 'Gd1 Lu1 Tl1 Cd1'
_space_group_name_H-M_alt 'P 1'
_space_group_IT_number 1
_cell_length_a 5.301
_cell_length_b 5.301
_cell_length_c 5.301
_cell_angle_alpha 60.00
_cell_angle_beta 60.00
_cell_angle_gamma 60.00
loop_
_space_group_symop_operation_xyz
'x,y,z'
loop_
_atom_site_label
_atom_site_type_symbol
_atom_site_fract_x
_atom_site_fract_y
_atom_site_fract_z
_atom_site_occupancy
Gd1 Gd 0.000 0.000 0.000 1
Lu1 Lu 0.500 0.500 0.500 1
Tl1 Tl 0.250 0.250 0.250 1
Cd1 Cd 0.750 0.750 0.750 1
```